Entry 1:
VASP calculation (PBE) on ScTa2CuRu after structural relaxation.

Properties
The value obtained for the size of the total moment is 0.00 μB/cell. The value obtained for the calculated formation energy is 1.0838 eV/atom. The calculated total energy comes out at -7.598 eV/atom.

Cell and atoms, written as CIF:
```
data_ScTa2CuRu
_chemical_formula_sum 'Sc1 Ta2 Cu1 Ru1'
_cell_length_a 4.626
_cell_length_b 4.607
_cell_length_c 4.626
_cell_angle_alpha 90.00
_cell_angle_beta 90.00
_cell_angle_gamma 90.00
_space_group_name_H-M_alt 'P 1'
_space_group_IT_number 1
loop_
_space_group_symop_operation_xyz
'x,y,z'
loop_
_atom_site_label
_atom_site_type_symbol
_atom_site_fract_x
_atom_site_fract_y
_atom_site_fract_z
Sc1 Sc 0.000 0.500 0.000
Ru1 Ru 0.500 0.500 0.500
Cu1 Cu 0.000 0.000 0.000
Ta1 Ta 0.000 0.000 0.500
Ta2 Ta 0.500 0.000 0.000
```

***

Entry 2:
VASP calculation (PBE) on HfZn2CoCu after structural relaxation.

Properties
The value obtained for the size of the total moment is 0.00 μB/cell. The value obtained for the calculated formation energy is 1.3565 eV/atom. The calculated total energy comes out at -3.384 eV/atom. Its energy above the lowest structure with this stoichiometry is 0.8778 eV per atom.

Cell and atoms, written as CIF:
```
data_HfZn2CoCu
_chemical_formula_sum 'Hf1 Zn2 Co1 Cu1'
_cell_length_a 5.173
_cell_length_b 4.432
_cell_length_c 5.173
_cell_angle_alpha 90.00
_cell_angle_beta 90.00
_cell_angle_gamma 90.00
_space_group_name_H-M_alt 'P 1'
_space_group_IT_number 1
loop_
_space_group_symop_operation_xyz
'x,y,z'
loop_
_atom_site_label
_atom_site_type_symbol
_atom_site_fract_x
_atom_site_fract_y
_atom_site_fract_z
Co1 Co 0.000 0.500 0.000
Zn1 Zn 0.000 0.000 0.500
Zn2 Zn 0.500 0.000 0.000
Hf1 Hf 0.000 0.000 0.000
Cu1 Cu 0.500 0.500 0.500
```

***

Entry 3:
VASP calculation (PBE) on Sr2CrNi after structural relaxation.

Properties
The value obtained for the size of the total moment is 5.09 μB/cell. The value obtained for the calculated formation energy is 0.5272 eV/atom. The calculated total energy comes out at -4.165 eV/atom. Its energy above the lowest structure with this stoichiometry is 0.2165 eV per atom.

Cell and atoms, written as CIF:
```
data_Sr2CrNi
_chemical_formula_sum 'Sr2 Cr1 Ni1'
_cell_length_a 5.403
_cell_length_b 5.403
_cell_length_c 5.403
_cell_angle_alpha 60.00
_cell_angle_beta 60.00
_cell_angle_gamma 60.00
_space_group_name_H-M_alt 'P 1'
_space_group_IT_number 1
loop_
_space_group_symop_operation_xyz
'x,y,z'
loop_
_atom_site_label
_atom_site_type_symbol
_atom_site_fract_x
_atom_site_fract_y
_atom_site_fract_z
Sr1 Sr 0.250 0.250 0.250
Sr2 Sr 0.750 0.750 0.750
Cr1 Cr 0.000 0.000 0.000
Ni1 Ni 0.500 0.500 0.500
```

***

Entry 4:
VASP calculation (PBE) on Pr2Ga3Ni2 after structural relaxation.

Properties
The value obtained for the size of the total moment is 0.00 μB/cell. The value obtained for the calculated formation energy is -0.5375 eV/atom. The calculated total energy comes out at -4.852 eV/atom. Its energy above the lowest structure with this stoichiometry is 0.0000 eV per atom.

Cell and atoms, written as CIF:
```
data_Pr2Ga3Ni2
_chemical_formula_sum 'Pr2 Ga3 Ni2'
_cell_length_a 4.107
_cell_length_b 5.719
_cell_length_c 7.026
_cell_angle_alpha 116.81
_cell_angle_beta 90.00
_cell_angle_gamma 111.04
_space_group_name_H-M_alt 'P 1'
_space_group_IT_number 1
loop_
_space_group_symop_operation_xyz
'x,y,z'
loop_
_atom_site_label
_atom_site_type_symbol
_atom_site_fract_x
_atom_site_fract_y
_atom_site_fract_z
Pr1 Pr 0.862 0.723 0.227
Pr2 Pr 0.138 0.277 0.773
Ga1 Ga 0.500 0.000 0.000
Ga2 Ga 0.645 0.289 0.438
Ga3 Ga 0.355 0.711 0.562
Ni1 Ni 0.867 0.735 0.793
Ni2 Ni 0.133 0.265 0.207
```

***

Question: size of the total moment of number 3 (Sr2CrNi)?
Answer: 5.09 μB/cell

***

Copy entry 1 word for word.
VASP calculation (PBE) on ScTa2CuRu after structural relaxation.

Properties
The value obtained for the size of the total moment is 0.00 μB/cell. The value obtained for the calculated formation energy is 1.0838 eV/atom. The calculated total energy comes out at -7.598 eV/atom.

Cell and atoms, written as CIF:
```
data_ScTa2CuRu
_chemical_formula_sum 'Sc1 Ta2 Cu1 Ru1'
_cell_length_a 4.626
_cell_length_b 4.607
_cell_length_c 4.626
_cell_angle_alpha 90.00
_cell_angle_beta 90.00
_cell_angle_gamma 90.00
_space_group_name_H-M_alt 'P 1'
_space_group_IT_number 1
loop_
_space_group_symop_operation_xyz
'x,y,z'
loop_
_atom_site_label
_atom_site_type_symbol
_atom_site_fract_x
_atom_site_fract_y
_atom_site_fract_z
Sc1 Sc 0.000 0.500 0.000
Ru1 Ru 0.500 0.500 0.500
Cu1 Cu 0.000 0.000 0.000
Ta1 Ta 0.000 0.000 0.500
Ta2 Ta 0.500 0.000 0.000
```